No. 1
Crystalline NaCePb2S4 at its relaxed geometry. Source: Alexandria, functional PBE-GGA.

Cell: 4.1896 7.2914 7.1303 Å, 71.36 90.00 90.00°
With the nearest neighbours (Å) after each atom.
Atoms (fractional coordinates):
Na: 0.5000 0.5000 0.0000  6 S 2.89-2.96
Ce: 0.0000 0.5000 0.5000  6 S 2.83-2.89
Pb: 0.0000 0.0000 0.0000  6 S 3.03-3.05
Pb: 0.5000 0.0000 0.5000  6 S 2.97-2.98
S: 0.0000 0.7397 0.7426  1 Ce 2.83, 2 Na 2.96, 3 Pb 2.98-3.03
S: 0.0000 0.2603 0.2574  1 Ce 2.83, 2 Na 2.96, 3 Pb 2.98-3.03
S: 0.5000 0.7334 0.2607  2 Ce 2.89, 1 Na 2.89, 3 Pb 2.97-3.05
S: 0.5000 0.2666 0.7393  2 Ce 2.89, 1 Na 2.89, 3 Pb 2.97-3.05

## Properties
Calculated total energy, eV per cell: -40.0

No. 2
Crystalline Tl3SiF8 at its relaxed geometry. Source: Alexandria, functional PBE-GGA.

Cell: 6.1489 7.4100 6.1474 Å, 70.61 83.23 109.53°
With the nearest neighbours (Å) after each atom.
Atoms (fractional coordinates):
Tl: 0.7418 0.5076 0.7503  3 F 2.61-2.67
Tl: 0.2507 0.5077 0.2588  3 F 2.61-2.67
Tl: 0.4567 0.9891 0.5436  3 F 2.28-2.30
Si: 0.9734 0.0299 0.0267  5 F 1.64-1.72
F: 0.2308 0.1461 0.0726  1 Si 1.64
F: 0.9271 0.1458 0.7698  1 Si 1.64
F: 0.7673 0.8140 0.2320  1 Si 1.64
F: 0.0852 0.8894 0.9144  1 Si 1.70
F: 0.5234 0.7370 0.8268  1 Tl 2.28
F: 0.1722 0.7388 0.4747  1 Tl 2.28
F: 0.5157 0.3268 0.4850  1 Tl 2.30
F: 0.8558 0.1677 0.1451  1 Si 1.72

## Properties
Calculated total energy, eV per cell: -55.5

No. 3
Crystalline Ba2Mg4ZnHg3 at its relaxed geometry. Source: Alexandria, functional PBE-GGA.

Cell: 4.8561 4.8561 12.0574 Å, 90.00 90.00 90.00°
With the nearest neighbours (Å) after each atom.
Atoms (fractional coordinates):
Ba: 0.5000 0.0000 0.2591  6 Hg 3.72-3.79, 8 Mg 3.74-3.96, 2 Zn 3.79
Ba: 0.0000 0.5000 0.7409  6 Hg 3.72-3.79, 8 Mg 3.74-3.96, 2 Zn 3.79
Mg: 0.5000 0.5000 0.0000  4 Hg 2.96
Mg: 0.0000 0.0000 0.0000  4 Hg 2.96
Mg: 0.5000 0.0000 0.6188  3 Hg 2.82-2.90, 2 Zn 2.82
Mg: 0.0000 0.5000 0.3812  2 Zn 2.82, 3 Hg 2.82-2.90
Zn: 0.5000 0.5000 0.5000  4 Mg 2.82
Hg: 0.0000 0.0000 0.5000  4 Mg 2.82
Hg: 0.5000 0.0000 0.8594  5 Mg 2.90-2.96
Hg: 0.0000 0.5000 0.1406  5 Mg 2.90-2.96

## Properties
Formation enthalpy at 0 K, eV per atom: -0.28

No. 4
Crystalline Sm2TeI at its relaxed geometry. Source: Alexandria, functional PBE-GGA.

Cell: 3.8431 3.8431 7.6846 Å, 90.00 90.00 90.00°
With the nearest neighbours (Å) after each atom.
Atoms (fractional coordinates):
I: 0.5000 0.5000 0.5000  8 Sm 3.38
Te: 0.5000 0.5000 0.0000  8 Sm 3.27
Sm: 0.0000 0.0000 0.7623  4 Te 3.27, 4 I 3.38, 1 Sm 3.65
Sm: 0.0000 0.0000 0.2377  4 Te 3.27, 4 I 3.38, 1 Sm 3.65

## Properties
Offset from the most stable computed form, meV/atom: 11

No. 5
Crystalline SrScGa at its relaxed geometry. Source: Alexandria, functional PBE-GGA.

Cell: 6.3710 8.0491 3.4914 Å, 102.50 105.96 90.74°
With the nearest neighbours (Å) after each atom.
Atoms (fractional coordinates):
Sc: 0.3786 0.5395 0.1841  4 Ga 2.90-3.04
Sc: 0.8429 0.5271 0.9106  3 Ga 2.73-2.93
Sr: 0.5864 0.1488 0.5917  1 Sc 3.25, 5 Ga 3.27-3.63, 3 Sr 3.49-3.59
Sr: 0.0658 0.9140 0.7159  5 Ga 3.39-3.54, 3 Sr 3.49-3.59, 2 Sc 3.68
Ga: 0.0809 0.3069 0.4197  4 Sc 2.92-3.04
Ga: 0.5878 0.7973 0.9172  3 Sc 2.73-2.90

## Properties
Formation enthalpy at 0 K, eV per atom: -0.18
Offset from the most stable computed form, meV/atom: 201

No. 6
Crystalline Cs2HgH4 at its relaxed geometry. Source: Alexandria, functional PBE-GGA.

Cell: 6.4826 8.8195 11.4536 Å, 90.00 90.00 90.00°
With the nearest neighbours (Å) after each atom.
Atoms (fractional coordinates):
Cs: 0.7500 0.5142 0.3124  9 H 3.07-3.42
Cs: 0.2500 0.4858 0.6876  9 H 3.07-3.42
Cs: 0.2500 0.9858 0.8124  9 H 3.07-3.42
Cs: 0.7500 0.0142 0.1876  9 H 3.07-3.42
Cs: 0.7500 0.8364 0.5907  10 H 3.26-3.61
Cs: 0.2500 0.1636 0.4093  10 H 3.26-3.61
Cs: 0.2500 0.6636 0.0907  10 H 3.26-3.61
Cs: 0.7500 0.3364 0.9093  10 H 3.26-3.61
Hg: 0.7500 0.7597 0.9156  4 H 1.81-1.84
Hg: 0.2500 0.2403 0.0844  4 H 1.81-1.84
Hg: 0.2500 0.7403 0.4156  4 H 1.81-1.84
Hg: 0.7500 0.2597 0.5844  4 H 1.81-1.84
H: 0.5181 0.6851 0.8460  1 Hg 1.82
H: 0.4819 0.3149 0.1540  1 Hg 1.82
H: 0.4819 0.8149 0.3460  1 Hg 1.82
H: 0.0181 0.3149 0.1540  1 Hg 1.82
H: 0.5181 0.1851 0.6540  1 Hg 1.82
H: 0.9819 0.6851 0.8460  1 Hg 1.82
H: 0.9819 0.1851 0.6540  1 Hg 1.82
H: 0.0181 0.8149 0.3460  1 Hg 1.82
H: 0.7500 0.9647 0.9055  1 Hg 1.81
H: 0.2500 0.0353 0.0945  1 Hg 1.81
H: 0.2500 0.5353 0.4055  1 Hg 1.81
H: 0.7500 0.4647 0.5945  1 Hg 1.81
H: 0.7500 0.1909 0.4331  1 Hg 1.84
H: 0.2500 0.8091 0.5669  1 Hg 1.84
H: 0.2500 0.3091 0.9331  1 Hg 1.84
H: 0.7500 0.6909 0.0669  1 Hg 1.84

## Properties
Calculated total energy, eV per cell: -65.6

No. 7
Crystalline Ti3Co5 at its relaxed geometry. Source: Alexandria, functional PBE-GGA.

Cell: 3.9108 5.0422 5.0422 Å, 100.00 90.00 90.00°
With the nearest neighbours (Å) after each atom.
Atoms (fractional coordinates):
Ti: 0.0000 0.5000 0.5000  8 Co 2.41-2.52
Ti: 0.5000 0.7899 0.2101  10 Co 2.45-2.64
Ti: 0.5000 0.2101 0.7899  10 Co 2.45-2.64
Co: 0.0000 0.0000 0.0000  8 Co 2.52-2.68, 4 Ti 2.54
Co: 0.0000 0.5000 0.0000  6 Co 2.52-2.76, 6 Ti 2.52-2.56
Co: 0.0000 0.0000 0.5000  6 Ti 2.52-2.56, 6 Co 2.52-2.76
Co: 0.5000 0.7170 0.7170  6 Ti 2.41-2.64, 2 Co 2.68
Co: 0.5000 0.2830 0.2830  6 Ti 2.41-2.64, 2 Co 2.68

## Properties
Formation enthalpy at 0 K, eV per atom: -0.35

No. 8
Crystalline Na6InHg23 at its relaxed geometry. Source: Alexandria, functional PBE-GGA.

Cell: 10.3549 10.3548 10.3547 Å, 60.00 60.00 60.00°
With the nearest neighbours (Å) after each atom.
Atoms (fractional coordinates):
Na: 0.7577 0.7577 0.2423  9 Hg 3.19-3.55
Na: 0.2423 0.2423 0.7577  9 Hg 3.19-3.55
Na: 0.7577 0.2423 0.2423  9 Hg 3.19-3.55
Na: 0.2423 0.7577 0.7577  9 Hg 3.19-3.55
Na: 0.7577 0.2423 0.7577  9 Hg 3.19-3.55
Na: 0.2423 0.7577 0.2423  9 Hg 3.19-3.55
In: 0.5000 0.5000 0.5000  8 Hg 3.23
Hg: 0.5987 0.1338 0.1338  4 Hg 3.10-3.39, 3 Na 3.19
Hg: 0.4013 0.8662 0.8662  4 Hg 3.10-3.39, 3 Na 3.19
Hg: 0.1338 0.1338 0.5987  4 Hg 3.10-3.39, 3 Na 3.19
Hg: 0.1338 0.1338 0.1338  4 Hg 3.10-3.39, 3 Na 3.19
Hg: 0.8662 0.8662 0.4013  4 Hg 3.10-3.39, 3 Na 3.19
Hg: 0.8662 0.8662 0.8662  4 Hg 3.10-3.39, 3 Na 3.19
Hg: 0.1338 0.5987 0.1338  4 Hg 3.10-3.39, 3 Na 3.19
Hg: 0.8662 0.4013 0.8662  4 Hg 3.10-3.39, 3 Na 3.19
Hg: 0.5000 0.5000 0.0000  8 Hg 3.10-3.15
Hg: 0.0000 0.0000 0.5000  8 Hg 3.10-3.15
Hg: 0.5000 0.0000 0.0000  8 Hg 3.10-3.15
Hg: 0.0000 0.5000 0.5000  8 Hg 3.10-3.15
Hg: 0.5000 0.0000 0.5000  8 Hg 3.10-3.15
Hg: 0.0000 0.5000 0.0000  8 Hg 3.10-3.15
Hg: 0.8819 0.3727 0.3727  6 Hg 3.15-3.50, 1 In 3.23, 3 Na 3.26
Hg: 0.1181 0.6273 0.6273  6 Hg 3.15-3.50, 1 In 3.23, 3 Na 3.26
Hg: 0.3727 0.3727 0.8819  6 Hg 3.15-3.50, 1 In 3.23, 3 Na 3.26
Hg: 0.3727 0.3727 0.3727  6 Hg 3.15-3.50, 1 In 3.23, 3 Na 3.26
Hg: 0.6273 0.6273 0.1181  6 Hg 3.15-3.50, 1 In 3.23, 3 Na 3.26
Hg: 0.6273 0.6273 0.6273  6 Hg 3.15-3.50, 1 In 3.23, 3 Na 3.26
Hg: 0.3727 0.8819 0.3727  6 Hg 3.15-3.50, 1 In 3.23, 3 Na 3.26
Hg: 0.6273 0.1181 0.6273  6 Hg 3.15-3.50, 1 In 3.23, 3 Na 3.26
Hg: 0.0000 0.0000 0.0000  8 Hg 3.39, 6 Na 3.55

## Properties
Formation enthalpy at 0 K, eV per atom: -0.14

No. 9
Crystalline ScInCuIr at its relaxed geometry. Source: Alexandria, functional PBE-GGA.

Cell: 4.5810 4.5810 4.5810 Å, 60.00 60.00 60.00°
With the nearest neighbours (Å) after each atom.
Atoms (fractional coordinates):
Sc: 0.0000 0.0000 0.0000  4 Ir 2.81, 4 Cu 2.81
Ir: 0.7500 0.7500 0.7500  4 In 2.81, 4 Sc 2.81
Cu: 0.2500 0.2500 0.2500  4 Sc 2.81, 4 In 2.81
In: 0.5000 0.5000 0.5000  4 Cu 2.81, 4 Ir 2.81

## Properties
Formation enthalpy at 0 K, eV per atom: -0.44

No. 10
Crystalline NdTh2In9 at its relaxed geometry. Source: Alexandria, functional PBE-GGA.

Cell: 4.7332 4.7332 14.1849 Å, 90.00 90.00 90.00°
With the nearest neighbours (Å) after each atom.
Atoms (fractional coordinates):
Nd: 0.0000 0.0000 0.0000  12 In 3.33-3.35
Th: 0.0000 0.0000 0.3329  12 In 3.35
Th: 0.0000 0.0000 0.6671  12 In 3.35
In: 0.5000 0.5000 0.0000  8 In 3.33, 4 Nd 3.35
In: 0.5000 0.5000 0.3328  4 Th 3.35, 8 In 3.35
In: 0.5000 0.5000 0.6672  4 Th 3.35, 8 In 3.35
In: 0.5000 0.0000 0.1653  8 In 3.33-3.35, 2 Nd 3.33, 2 Th 3.35
In: 0.5000 0.0000 0.5000  8 In 3.35, 4 Th 3.35
In: 0.5000 0.0000 0.8347  8 In 3.33-3.35, 2 Nd 3.33, 2 Th 3.35
In: 0.0000 0.5000 0.1653  8 In 3.33-3.35, 2 Nd 3.33, 2 Th 3.35
In: 0.0000 0.5000 0.5000  8 In 3.35, 4 Th 3.35
In: 0.0000 0.5000 0.8347  2 Nd 3.33, 8 In 3.33-3.35, 2 Th 3.35

## Properties
Formation enthalpy at 0 K, eV per atom: -0.39

No. 11
Crystalline Nb3RuBr at its relaxed geometry. Source: Alexandria, functional PBE-GGA.

Cell: 4.8846 4.8846 4.8846 Å, 90.00 90.00 90.00°
With the nearest neighbours (Å) after each atom.
Atoms (fractional coordinates):
Ru: 0.0000 0.0000 0.0000  6 Nb 2.44
Nb: 0.0000 0.5000 0.0000  2 Ru 2.44
Nb: 0.0000 0.0000 0.5000  2 Ru 2.44
Nb: 0.5000 0.0000 0.0000  2 Ru 2.44
Br: 0.5000 0.5000 0.5000  12 Nb 3.45

## Properties
Offset from the most stable computed form, meV/atom: 0

No. 12
Crystalline PaNiSe3 at its relaxed geometry. Source: Alexandria, functional PBE-GGA.

Cell: 4.1469 5.4414 9.6228 Å, 90.00 90.00 90.00°
With the nearest neighbours (Å) after each atom.
Atoms (fractional coordinates):
Pa: 0.0000 0.2500 0.1824  8 Se 2.83-3.04
Pa: 0.0000 0.7500 0.8176  8 Se 2.83-3.04
Ni: 0.5000 0.7500 0.3678  3 Se 2.30-2.39
Ni: 0.5000 0.2500 0.6322  3 Se 2.30-2.39
Se: 0.5000 0.0000 0.0000  2 Se 2.72, 4 Pa 3.04
Se: 0.5000 0.5000 0.0000  2 Se 2.72, 4 Pa 3.04
Se: 0.0000 0.7500 0.2634  2 Ni 2.30
Se: 0.0000 0.2500 0.7366  2 Ni 2.30
Se: 0.5000 0.2500 0.3837  1 Ni 2.39
Se: 0.5000 0.7500 0.6163  1 Ni 2.39

## Properties
Offset from the most stable computed form, meV/atom: 98

No. 13
Crystalline LuBeGa2 at its relaxed geometry. Source: Alexandria, functional PBE-GGA.

Cell: 3.9608 3.9608 5.5699 Å, 69.17 69.17 60.00°
With the nearest neighbours (Å) after each atom.
Atoms (fractional coordinates):
Be: 0.5000 0.5000 0.5000  6 Ga 2.41
Lu: 0.0000 0.0000 0.0000  6 Ga 2.90
Ga: 0.7839 0.7839 0.6482  3 Be 2.41
Ga: 0.2161 0.2161 0.3518  3 Be 2.41

## Properties
Formation enthalpy at 0 K, eV per atom: -0.31
Offset from the most stable computed form, meV/atom: 0

No. 14
Crystalline ZrSc2TiN at its relaxed geometry. Source: Alexandria, functional PBE-GGA.

Cell: 4.4002 4.4002 4.6474 Å, 90.00 90.00 90.00°
With the nearest neighbours (Å) after each atom.
Atoms (fractional coordinates):
Sc: 0.0000 0.5000 0.0000  2 N 2.20
Sc: 0.5000 0.0000 0.0000  2 N 2.20
N: 0.0000 0.0000 0.0000  4 Sc 2.20, 2 Zr 2.32
Zr: 0.0000 0.0000 0.5000  2 N 2.32
Ti: 0.5000 0.5000 0.5000  4 Zr 3.11, 8 Sc 3.20

## Properties
Offset from the most stable computed form, meV/atom: 0

No. 15
Crystalline DyEr7Tm5 at its relaxed geometry. Source: Alexandria, functional PBE-GGA.

Cell: 6.5908 8.5644 8.5644 Å, 80.05 67.37 67.37°
With the nearest neighbours (Å) after each atom.
Atoms (fractional coordinates):
Dy: 0.9625 0.0375 0.0375  7 Er 3.49-3.85, 4 Tm 3.67
Er: 0.5779 0.4221 0.4221  7 Er 3.49-3.85, 4 Tm 3.65
Er: 0.2701 0.7299 0.7299  6 Tm 3.30-3.47, 1 Dy 3.49, 1 Er 3.49
Er: 0.0190 0.3100 0.6521  5 Tm 3.39-3.41, 4 Er 3.40-3.77, 1 Dy 3.68
Er: 0.0190 0.6521 0.3100  5 Tm 3.39-3.41, 4 Er 3.40-3.77, 1 Dy 3.68
Er: 0.2689 0.2311 0.2311  4 Tm 3.06, 4 Er 3.40-3.41
Er: 0.5191 0.8096 0.1521  5 Tm 3.40-3.41, 5 Er 3.41-3.77
Er: 0.5191 0.1521 0.8096  5 Tm 3.40-3.41, 5 Er 3.41-3.77
Tm: 0.5354 0.0033 0.4590  5 Er 3.06-3.41, 2 Tm 3.08-3.37
Tm: 0.0022 0.0033 0.4590  5 Er 3.06-3.41, 2 Tm 3.08-3.37
Tm: 0.5354 0.4590 0.0033  5 Er 3.06-3.41, 2 Tm 3.08-3.37
Tm: 0.0022 0.4590 0.0033  5 Er 3.06-3.41, 2 Tm 3.08-3.37
Tm: 0.7692 0.7308 0.7308  6 Er 3.30-3.41, 4 Tm 3.37

## Properties
Formation enthalpy at 0 K, eV per atom: 0.26

No. 16
Crystalline Nd2HoTmP4 at its relaxed geometry. Source: Alexandria, functional PBE-GGA.

Cell: 4.0712 7.0492 7.0432 Å, 109.49 90.00 90.00°
With the nearest neighbours (Å) after each atom.
Atoms (fractional coordinates):
Nd: 0.5000 0.0000 0.5000  6 P 2.93
Nd: 0.0000 0.5000 0.5000  6 P 2.92
Ho: 0.0000 0.0000 0.0000  6 P 2.84
Tm: 0.5000 0.5000 0.0000  6 P 2.83
P: 0.5000 0.2472 0.2382  1 Tm 2.83, 2 Ho 2.84, 3 Nd 2.92-2.93
P: 0.5000 0.7528 0.7618  1 Tm 2.83, 2 Ho 2.84, 3 Nd 2.92-2.93
P: 0.0000 0.2552 0.7625  2 Tm 2.83, 1 Ho 2.84, 3 Nd 2.92-2.93
P: 0.0000 0.7448 0.2375  2 Tm 2.83, 1 Ho 2.84, 3 Nd 2.92-2.93

## Properties
Formation enthalpy at 0 K, eV per atom: -1.56

No. 17
Crystalline Te3P at its relaxed geometry. Source: Alexandria, functional PBE-GGA.

Cell: 4.6360 4.6360 4.6360 Å, 90.00 90.00 90.00°
With the nearest neighbours (Å) after each atom.
Atoms (fractional coordinates):
Te: 0.0000 0.5000 0.5000  8 Te 3.28, 4 P 3.28
Te: 0.5000 0.0000 0.5000  8 Te 3.28, 4 P 3.28
Te: 0.5000 0.5000 0.0000  8 Te 3.28, 4 P 3.28
P: 0.0000 0.0000 0.0000  12 Te 3.28

## Properties
Offset from the most stable computed form, meV/atom: 504

No. 18
Crystalline As3HCl at its relaxed geometry. Source: Alexandria, functional PBE-GGA.

Cell: 4.3663 4.3663 4.3663 Å, 90.00 90.00 90.00°
With the nearest neighbours (Å) after each atom.
Atoms (fractional coordinates):
H: 0.0000 0.0000 0.0000  6 As 2.18
As: 0.0000 0.5000 0.0000  2 H 2.18
As: 0.0000 0.0000 0.5000  2 H 2.18
As: 0.5000 0.0000 0.0000  2 H 2.18
Cl: 0.5000 0.5000 0.5000  12 As 3.09

## Properties
Offset from the most stable computed form, meV/atom: 0

No. 19
Crystalline SmYErTm at its relaxed geometry. Source: Alexandria, functional PBE-GGA.

Cell: 5.0249 5.0248 6.1373 Å, 114.16 114.17 90.00°
With the nearest neighbours (Å) after each atom.
Atoms (fractional coordinates):
Sm: 0.3698 0.8698 0.7397  4 Y 3.54-3.55, 4 Tm 3.55, 4 Er 3.55
Y: 0.1197 0.1197 0.2394  4 Sm 3.54-3.55, 4 Er 3.55, 4 Tm 3.55
Er: 0.8697 0.3697 0.7395  4 Tm 3.55, 4 Y 3.55, 4 Sm 3.55
Tm: 0.6198 0.6198 0.2397  4 Er 3.55, 4 Sm 3.55, 4 Y 3.55

## Properties
Formation enthalpy at 0 K, eV per atom: 0.03
Offset from the most stable computed form, meV/atom: 0

No. 20
Crystalline Ce2InP3Rh12 at its relaxed geometry. Source: Alexandria, functional PBE-GGA.

Cell: 6.7721 6.7721 6.7721 Å, 79.81 79.81 79.81°
With the nearest neighbours (Å) after each atom.
Atoms (fractional coordinates):
Ce: 0.6134 0.6134 0.6134  3 Rh 2.45
Ce: 0.3866 0.3866 0.3866  3 Rh 2.45
In: 0.0000 0.0000 0.0000  6 Rh 2.68
P: 0.5000 0.0000 0.0000  6 Rh 2.28-2.43
P: 0.0000 0.5000 0.0000  6 Rh 2.28-2.43
P: 0.0000 0.0000 0.5000  6 Rh 2.28-2.43
Rh: 0.3498 0.3498 0.9075  2 P 2.43
Rh: 0.8217 0.8217 0.3560  1 P 2.28, 1 Ce 2.45
Rh: 0.3560 0.8217 0.8217  1 P 2.28, 1 Ce 2.45
Rh: 0.9075 0.3498 0.3498  2 P 2.43
Rh: 0.8217 0.3560 0.8217  1 P 2.28, 1 Ce 2.45
Rh: 0.3498 0.9075 0.3498  2 P 2.43
Rh: 0.6502 0.6502 0.0925  2 P 2.43
Rh: 0.1783 0.1783 0.6440  1 P 2.28, 1 Ce 2.45
Rh: 0.6440 0.1783 0.1783  1 P 2.28, 1 Ce 2.45
Rh: 0.0925 0.6502 0.6502  2 P 2.43
Rh: 0.1783 0.6440 0.1783  1 P 2.28, 1 Ce 2.45
Rh: 0.6502 0.0925 0.6502  2 P 2.43

## Properties
Formation enthalpy at 0 K, eV per atom: -0.38

Spin magnetization (computed, μB per cell): 1.0 0.8 0.0 0.0 0.0 0.0 0.7 0.0 0.0 0.0 0.0 0.4 0.0 1.3 0.0 0.0 0.0 0.0 0.0 0.0
Fermi-level density of states (computed, states/eV/atom): 0.801 0.203 0.688 0.889 1.373 0.000 0.682 0.313 0.629 0.460 1.412 0.581 0.403 1.369 2.039 0.099 0.732 0.863 1.515 0.914